An optimized crystal structure of Ce3Ni5H12, computed with PBE.

Results
volume = 1497.5 Å³/cell
E_tot = -4.563 eV per atom

Cell and atoms, written as CIF:
```
data_Ce3Ni5H12
_chemical_formula_sum 'Ce24 Ni40 H96'
_cell_length_a 11.441
_cell_length_b 11.441
_cell_length_c 11.441
_cell_angle_alpha 90.00
_cell_angle_beta 90.00
_cell_angle_gamma 90.00
_symmetry_space_group_name_H-M 'I a -3 d'
_symmetry_Int_Tables_number 230
_symmetry_space_group_name_Hall '-I 4bd 2c 3'
loop_
_atom_site_label
_atom_site_type_symbol
_atom_site_fract_x
_atom_site_fract_y
_atom_site_fract_z
Ce1 Ce 0.000 0.250 0.125
Ni1 Ni 0.000 0.000 0.000
Ni2 Ni 0.000 0.250 0.375
H1 H 0.041 0.043 0.637
```

---

An optimized crystal structure of Ru3Rh, computed with PBE.

Results
energy relative to the elements = 0.35 eV/f.u.
volume = 111.9 Å³/cell

Cell and atoms, written as CIF:
```
data_Ru3Rh
_chemical_formula_sum 'Ru6 Rh2'
_cell_length_a 5.414
_cell_length_b 7.664
_cell_length_c 2.697
_cell_angle_alpha 90.00
_cell_angle_beta 90.00
_cell_angle_gamma 90.00
_symmetry_space_group_name_H-M 'C m m m'
_symmetry_Int_Tables_number 65
_symmetry_space_group_name_Hall '-C 2 2'
loop_
_atom_site_label
_atom_site_type_symbol
_atom_site_fract_x
_atom_site_fract_y
_atom_site_fract_z
Ru1 Ru 0.000 0.000 0.000
Ru2 Ru 0.250 0.250 0.500
Rh1 Rh 0.000 0.500 0.000
```